Record 1
IrCl5F PBE optimized geometry; total magnetic moment = 1.42 μB per cell; N(E_F) = 4.63 states/eV/cell; raw formation energy = -187 meV/atom; SG = Imm2
1.0
-4.192 4.882 2.532
4.192 -4.882 2.532
4.192 4.882 -2.532
Ir Cl F
1 5 1
direct
0.000 0.000 0.000
0.097 0.361 0.264
0.097 0.833 0.736
0.244 0.011 0.233
0.539 0.539 0.000
0.778 0.011 0.767
0.939 0.439 0.500

Record 2
NbZnF2 PBE optimized geometry; total magnetic moment = 2.75 μB per cell; relative energy among the computed polymorphs = 0.769 eV/atom; N(E_F) = 1.53 states/eV/cell; raw formation energy = -720 meV/atom; SG = Fm-3m
1.0
0.000 3.014 3.014
3.014 0.000 3.014
3.014 3.014 0.000
Nb Zn F
1 1 2
direct
0.000 0.000 0.000
0.500 0.500 0.500
0.250 0.250 0.250
0.750 0.750 0.750

Record 3
Cd2TeOs PBE optimized geometry; total magnetic moment = 0.00 μB per cell; N(E_F) = 3.66 states/eV/cell; raw formation energy = 310 meV/atom; SG = Imm2
1.0
-1.557 2.332 6.462
1.557 -2.332 6.462
1.557 2.332 -6.462
Cd Te Os
2 1 1
direct
0.000 0.000 0.000
0.660 0.160 0.500
0.350 0.350 0.000
0.186 0.686 0.500

Record 4
U2Ni15Rh2 PBE optimized geometry; total magnetic moment = 3.51 μB per cell; ΔH_f (0 K) = 0.004 eV/atom; N(E_F) = 24.75 states/eV/cell; SG = R-3m
1.0
4.231 2.443 4.022
-4.231 2.443 4.022
0.000 -4.885 4.022
U Ni Rh
2 15 2
direct
0.162 0.162 0.162
0.838 0.838 0.838
0.000 0.000 0.500
0.000 0.329 0.671
0.000 0.500 0.000
0.000 0.671 0.329
0.178 0.659 0.659
0.329 0.000 0.671
0.329 0.671 0.000
0.341 0.341 0.822
0.341 0.822 0.341
0.500 0.000 0.000
0.659 0.178 0.659
0.659 0.659 0.178
0.671 0.000 0.329
0.671 0.329 0.000
0.822 0.341 0.341
0.366 0.366 0.366
0.634 0.634 0.634

Record 5
Ce4SiB3Rh12 PBE optimized geometry; total magnetic moment = 1.67 μB per cell; N(E_F) = 16.51 states/eV/cell; raw formation energy = -735 meV/atom; SG = Im-3m
1.0
-4.303 4.303 4.303
4.303 -4.303 4.303
4.303 4.303 -4.303
Ce Si B Rh
4 1 3 12
direct
0.000 0.000 0.500
0.000 0.500 0.000
0.500 0.000 0.000
0.500 0.500 0.500
0.000 0.000 0.000
0.000 0.500 0.500
0.500 0.000 0.500
0.500 0.500 0.000
0.000 0.264 0.264
0.000 0.736 0.736
0.250 0.500 0.750
0.250 0.750 0.500
0.264 0.000 0.264
0.264 0.264 0.000
0.500 0.250 0.750
0.500 0.750 0.250
0.736 0.000 0.736
0.736 0.736 0.000
0.750 0.250 0.500
0.750 0.500 0.250

Record 6
K5LiCl6 PBE optimized geometry; total magnetic moment = 0.00 μB per cell; N(E_F) = 0.00 states/eV/cell; raw formation energy = -1891 meV/atom; SG = C2/m
1.0
3.795 -6.638 0.000
3.795 6.638 0.000
-2.486 0.000 7.149
K Li Cl
5 1 6
direct
0.000 0.000 0.000
0.168 0.832 0.500
0.333 0.667 0.000
0.667 0.333 0.000
0.832 0.168 0.500
0.500 0.500 0.500
0.100 0.416 0.256
0.289 0.289 0.712
0.416 0.100 0.256
0.584 0.900 0.744
0.711 0.711 0.288
0.900 0.584 0.744

Record 7
LiPb5 PBE optimized geometry; total magnetic moment = 0.00 μB per cell; relative energy among the computed polymorphs = 0.008 eV/atom; ΔH_f (0 K) = -0.051 eV/atom; N(E_F) = 2.36 states/eV/cell; SG = P-62m
1.0
5.970 0.000 0.000
-2.985 5.170 0.000
0.000 0.000 5.774
Li Pb
1 5
direct
0.000 0.000 0.000
0.000 0.671 0.500
0.329 0.329 0.500
0.333 0.667 0.000
0.667 0.333 0.000
0.671 0.000 0.500

Record 8
Ti4NbRh5 PBE optimized geometry; total magnetic moment = 0.00 μB per cell; ΔH_f (0 K) = -0.694 eV/atom; N(E_F) = 8.22 states/eV/cell; SG = P4/mmm
1.0
2.938 0.000 0.000
0.000 2.938 0.000
0.000 0.000 17.595
Ti Nb Rh
4 1 5
direct
0.000 0.000 0.099
0.000 0.000 0.295
0.000 0.000 0.705
0.000 0.000 0.901
0.000 0.000 0.500
0.500 0.500 0.000
0.500 0.500 0.199
0.500 0.500 0.387
0.500 0.500 0.613
0.500 0.500 0.801